First-principles (PBE-GGA) data for CsKHg2Pt after structural relaxation, as listed in Alexandria.

Calculated values
* polymorph energy (0 for the lowest one): 0 meV/atom
* DFT total energy: -1.9245 eV per atom
* total magnetic moment: 0.0 Bohr magnetons per cell
* energy relative to the elements: -205 meV/atom

Unit cell a=5.4971 b=5.4971 c=5.9118 alpha=90.00 beta=90.00 gamma=90.00
With the nearest neighbours (Å) after each atom.
Fractional coordinates of all 5 atoms:
Pt1 0.0000 0.0000 0.0000  4 Hg 2.75, 2 K 2.96
K1 0.0000 0.0000 0.5000  2 Pt 2.96
Hg1 0.5000 0.0000 0.0000  2 Pt 2.75
Hg2 0.0000 0.5000 0.0000  2 Pt 2.75
Cs1 0.5000 0.5000 0.5000  4 K 3.89, 8 Hg 4.04

***

First-principles (PBE-GGA) data for Cs2K2Hg4Pt after structural relaxation, as listed in Alexandria.

Calculated values
* DFT total energy: -1.4649 eV per atom
* total magnetic moment: 0.0 Bohr magnetons per cell
* energy relative to the elements: -226 meV/atom

Unit cell a=7.8433 b=7.8433 c=7.8433 alpha=100.41 beta=114.18 gamma=114.18
With the nearest neighbours (Å) after each atom.
Fractional coordinates of all 9 atoms:
Pt1 0.0000 0.0000 0.0000  4 Hg 2.75
K1 0.0000 0.6848 0.6848  1 Pt 3.16
K2 0.0000 0.3152 0.3152  1 Pt 3.16
Cs1 0.5000 0.7500 0.2500  8 Hg 3.93, 4 K 4.31
Cs2 0.5000 0.2500 0.7500  8 Hg 3.93, 4 K 4.31
Hg1 0.0000 0.2282 0.7718  1 Pt 2.75
Hg2 0.0000 0.7718 0.2282  1 Pt 2.75
Hg3 0.4565 0.2282 0.2282  1 Pt 2.75
Hg4 0.5435 0.7718 0.7718  1 Pt 2.75

***

First-principles (PBE-GGA) data for CsKHgPt after structural relaxation, as listed in Alexandria.

Calculated values
* DFT total energy: -2.2380 eV per atom
* total magnetic moment: 0.0 Bohr magnetons per cell
* energy relative to the elements: -165 meV/atom

Unit cell a=4.8427 b=4.8427 c=9.2278 alpha=90.00 beta=105.22 gamma=119.99
With the nearest neighbours (Å) after each atom.
Fractional coordinates of all 4 atoms:
Hg1 0.8289 0.2790 0.1079  3 Pt 2.80
Pt1 0.5026 0.6159 0.1185  3 Hg 2.80
K1 0.0158 0.8724 0.8881  3 Hg 3.40, 3 Pt 3.45
Cs1 0.3448 0.0371 0.3819  3 Pt 3.63, 3 Hg 3.69

***

First-principles (PBE-GGA) data for Cs4KHg12Pt3 after structural relaxation, as listed in Alexandria.

Calculated values
* DFT total energy: -1.5043 eV per atom
* total magnetic moment: 0.0 Bohr magnetons per cell
* energy relative to the elements: -192 meV/atom

Unit cell a=9.8616 b=9.8616 c=9.8616 alpha=109.47 beta=109.47 gamma=109.47
With the nearest neighbours (Å) after each atom.
Fractional coordinates of all 20 atoms:
Pt1 0.5000 0.0000 0.5000  6 Hg 2.65-2.85
Pt2 0.5000 0.5000 0.0000  6 Hg 2.65-2.85
Pt3 0.0000 0.5000 0.5000  6 Hg 2.65-2.85
Hg1 0.2677 0.2677 0.0000  1 Pt 2.65
Hg2 0.7323 0.0000 0.7323  1 Pt 2.65
Hg3 0.7500 0.5000 0.2500  2 Pt 2.85
Hg4 0.0000 0.2677 0.2677  1 Pt 2.65
Hg5 0.0000 0.7323 0.7323  1 Pt 2.65
Hg6 0.2500 0.7500 0.5000  2 Pt 2.85
Hg7 0.5000 0.7500 0.2500  2 Pt 2.85
Hg8 0.5000 0.2500 0.7500  2 Pt 2.85
Hg9 0.7500 0.2500 0.5000  2 Pt 2.85
Hg10 0.2677 0.0000 0.2677  1 Pt 2.65
Hg11 0.7323 0.7323 0.0000  1 Pt 2.65
Hg12 0.2500 0.5000 0.7500  2 Pt 2.85
Cs1 0.0000 0.0000 0.5000  12 Hg 4.03
Cs2 0.5000 0.0000 0.0000  12 Hg 4.03
Cs3 0.0000 0.5000 0.0000  12 Hg 4.03
Cs4 0.5000 0.5000 0.5000  12 Hg 4.03
K1 0.0000 0.0000 0.0000  6 Hg 3.05

***

First-principles (PBE-GGA) data for CsKHg4Pt after structural relaxation, as listed in Alexandria.

Calculated values
* DFT total energy: -1.5609 eV per atom
* total magnetic moment: 0.0 Bohr magnetons per cell
* energy relative to the elements: -247 meV/atom

Unit cell a=7.6403 b=7.5791 c=9.8377 alpha=90.00 beta=112.85 gamma=90.00
With the nearest neighbours (Å) after each atom.
Fractional coordinates of all 14 atoms:
Hg1 0.0000 0.5000 0.5000  2 Pt 2.71
Hg2 0.0000 0.0000 0.5000  2 Pt 2.71
Hg3 0.1126 0.7500 0.2252  1 Pt 2.79
Hg4 0.8874 0.2500 0.7748  1 Pt 2.79
Hg5 0.5000 0.0000 0.5000  2 Pt 2.71
Hg6 0.5000 0.5000 0.5000  2 Pt 2.71
Hg7 0.4185 0.7500 0.8369  1 Pt 2.76
Hg8 0.5815 0.2500 0.1631  1 Pt 2.76
Pt1 0.2664 0.7500 0.5328  6 Hg 2.71-2.79
Pt2 0.7336 0.2500 0.4672  6 Hg 2.71-2.79
Cs1 0.9020 0.7500 0.8040  9 Hg 3.80-3.85
Cs2 0.0980 0.2500 0.1960  9 Hg 3.80-3.85
K1 0.6143 0.7500 0.2286  9 Hg 3.55-3.84
K2 0.3857 0.2500 0.7714  9 Hg 3.55-3.84

***

First-principles (PBE-GGA) data for CsKHg2Pt after structural relaxation, as listed in Alexandria.

Calculated values
* polymorph energy (0 for the lowest one): 88 meV/atom
* DFT total energy: -1.8361 eV per atom
* total magnetic moment: 0.0 Bohr magnetons per cell
* energy relative to the elements: -117 meV/atom

Unit cell a=5.4849 b=5.4849 c=6.2266 alpha=90.00 beta=90.00 gamma=90.00
With the nearest neighbours (Å) after each atom.
Fractional coordinates of all 5 atoms:
Hg1 0.0000 0.5000 0.0000  2 Pt 2.74
Hg2 0.5000 0.0000 0.0000  2 Pt 2.74
Pt1 0.0000 0.0000 0.0000  4 Hg 2.74
K1 0.5000 0.5000 0.5000  4 Cs 3.88, 8 Hg 4.15
Cs1 0.0000 0.0000 0.5000  2 Pt 3.11

***

First-principles (PBE-GGA) data for CsK5Rb2Hg2 after structural relaxation, as listed in Alexandria.

Calculated values
* DFT total energy: -0.9712 eV per atom
* total magnetic moment: 0.0 Bohr magnetons per cell
* energy relative to the elements: -83 meV/atom

Unit cell a=5.4138 b=15.3109 c=15.3109 alpha=90.00 beta=90.00 gamma=90.00
With the nearest neighbours (Å) after each atom.
Fractional coordinates of all 20 atoms:
Cs1 0.0000 0.0000 0.0000  8 K 4.59
Cs2 0.0000 0.5000 0.5000  8 K 4.59
K1 0.5000 0.0736 0.7695  2 Hg 3.63
K2 0.5000 0.5000 0.0000  4 Hg 3.71
K3 0.5000 0.2305 0.0736  2 Hg 3.63
K4 0.5000 0.9264 0.2305  2 Hg 3.63
K5 0.5000 0.4264 0.2695  2 Hg 3.63
K6 0.5000 0.7305 0.4264  2 Hg 3.63
K7 0.5000 0.5736 0.7305  2 Hg 3.63
K8 0.5000 0.2695 0.5736  2 Hg 3.63
K9 0.5000 0.0000 0.5000  4 Hg 3.71
K10 0.5000 0.7695 0.9264  2 Hg 3.63
Hg1 0.0000 0.6173 0.8827  6 K 3.63-3.71
Hg2 0.0000 0.3827 0.1173  6 K 3.63-3.71
Hg3 0.0000 0.1173 0.6173  6 K 3.63-3.71
Hg4 0.0000 0.8827 0.3827  6 K 3.63-3.71
Rb1 0.0000 0.1708 0.3292  3 Hg 4.49-4.59, 10 K 4.58-4.86
Rb2 0.0000 0.3292 0.8292  3 Hg 4.49-4.59, 10 K 4.58-4.86
Rb3 0.0000 0.8292 0.6708  3 Hg 4.49-4.59, 10 K 4.58-4.86
Rb4 0.0000 0.6708 0.1708  3 Hg 4.49-4.59, 10 K 4.58-4.86

***

First-principles (PBE-GGA) data for CsKRb2Hg after structural relaxation, as listed in Alexandria.

Calculated values
* polymorph energy (0 for the lowest one): 14 meV/atom
* DFT total energy: -0.9061 eV per atom
* total magnetic moment: 0.0 Bohr magnetons per cell
* energy relative to the elements: -69 meV/atom

Unit cell a=7.2330 b=7.2330 c=7.4464 alpha=90.00 beta=90.00 gamma=90.00
With the nearest neighbours (Å) after each atom.
Fractional coordinates of all 5 atoms:
Hg1 0.0000 0.0000 0.0000  4 Rb 3.62, 2 Cs 3.72
Cs1 0.0000 0.0000 0.5000  2 Hg 3.72
Rb1 0.0000 0.5000 0.0000  2 Hg 3.62
Rb2 0.5000 0.0000 0.0000  2 Hg 3.62
K1 0.5000 0.5000 0.5000  4 Cs 5.11, 8 Rb 5.19

***

First-principles (PBE-GGA) data for CsK2Rb6Hg after structural relaxation, as listed in Alexandria.

Calculated values
* DFT total energy: -0.9382 eV per atom
* total magnetic moment: 0.0 Bohr magnetons per cell
* energy relative to the elements: -23 meV/atom

Unit cell a=13.0161 b=13.1017 c=9.3070 alpha=90.33 beta=134.88 gamma=119.81
With the nearest neighbours (Å) after each atom.
Fractional coordinates of all 10 atoms:
Rb1 0.8274 0.7616 0.1803  1 Hg 4.12, 2 Rb 4.51-4.52
Rb2 0.4327 0.0645 0.1812  1 Hg 4.07, 2 Rb 4.50-4.52
Rb3 0.5594 0.9307 0.7783  1 Hg 4.08, 2 Rb 4.50-4.52
Rb4 0.1322 0.3678 0.1827  1 Hg 4.10, 2 Rb 4.50-4.51
Rb5 0.1657 0.2339 0.7793  1 Hg 4.13, 2 Rb 4.51-4.52
Rb6 0.8597 0.6270 0.7763  1 Hg 4.11, 2 Rb 4.50-4.51
Cs1 0.9972 0.4980 0.4814  2 K 4.56, 6 Rb 4.83-4.86
Hg1 0.9971 0.9981 0.9809  2 K 3.50
K1 0.5626 0.7809 0.3298  1 Hg 3.50
K2 0.4316 0.2152 0.6322  1 Hg 3.50

***

First-principles (PBE-GGA) data for Cs4K3Rb3Hg2 after structural relaxation, as listed in Alexandria.

Calculated values
* DFT total energy: -0.9051 eV per atom
* total magnetic moment: 0.0 Bohr magnetons per cell
* energy relative to the elements: -54 meV/atom

Unit cell a=7.3630 b=7.0672 c=19.5105 alpha=100.43 beta=100.88 gamma=90.00
With the nearest neighbours (Å) after each atom.
Fractional coordinates of all 12 atoms:
K1 0.9164 0.4129 0.8258  2 Hg 3.56
K2 0.0012 0.0000 0.0000  2 Hg 3.69
K3 0.0905 0.5871 0.1742  2 Hg 3.56
Cs1 0.5846 0.0868 0.1735  2 Hg 3.70-3.71
Cs2 0.4111 0.9132 0.8265  2 Hg 3.70-3.71
Cs3 0.2039 0.1999 0.3998  1 Hg 3.84
Cs4 0.8041 0.8001 0.6002  1 Hg 3.84
Rb1 0.5082 0.5000 0.0000  4 Cs 4.81, 8 K 4.90-5.14
Rb2 0.6777 0.6709 0.3418  7 Cs 4.75-5.23, 2 K 4.83-4.87
Rb3 0.3358 0.3291 0.6582  7 Cs 4.75-5.23, 2 K 4.83-4.87
Hg1 0.0950 0.0978 0.1957  3 K 3.56-3.69, 3 Cs 3.70-3.84
Hg2 0.8994 0.9022 0.8043  3 K 3.56-3.69, 3 Cs 3.70-3.84